! GGA+U Pm2CdNiO6, optimized geometry; values from VASP
&SYSTEM
  ibrav = 0, nat = 20, ntyp = 4
/
ATOMIC_SPECIES
Pm 145.00 Pm.upf
Cd 112.41 Cd.upf
Ni 58.69 Ni.upf
O 16.00 O.upf
ATOMIC_POSITIONS angstrom
Pm 0.1180 5.4481 1.9859
Pm 2.8686 3.3104 5.9142
Pm 5.3832 0.3909 5.8707
Pm 2.6326 2.5286 1.9424
Cd 2.7354 0.0000 -0.0061
Cd 0.0152 2.9195 3.9344
Ni 2.7506 0.0000 3.9283
Ni 0.0000 2.9195 0.0000
O 1.5564 3.9425 0.3896
O 4.3070 4.8161 4.3179
O 3.9448 1.8965 7.4671
O 1.1942 1.0230 3.5388
O 1.8235 4.2294 3.4043
O 4.5741 4.5292 7.3327
O 3.6776 1.6096 4.4523
O 0.9271 1.3099 0.5240
O 4.8603 3.1920 1.7666
O 2.1401 5.5666 5.7071
O 0.6409 2.6471 6.0900
O 3.3611 0.2725 2.1495
CELL_PARAMETERS angstrom
5.4708 0.0000 -0.0122
0.0000 5.8390 0.0000
0.0304 0.0000 7.8688
! Total magnetic moment   0.001 μB/f.u.
! Mass density   7.36 g/cm3
! Final energy   -0.2320 hartree per atom